Material: NbTe8Au2
Method: DFT, PBE
State: optimized geometry

Cell lengths 13.380, 8.615, 5.867 Å; angles 90.00, 94.27, 90.00 degrees
Space group C2/m (No. 12)
Asymmetric unit:
Nb: 0.000 0.000 0.000
Te: 0.056 0.255 0.726
Te: 0.113 0.500 0.170
Te: 0.185 0.000 0.233
Au: 0.186 0.000 0.721

* uncorrected formation energy: 5 meV per atom
* Fermi-level density of states: 0.413 states/eV/atom



Material: NbTe2Au
Method: DFT, PBE
State: optimized geometry

Cell lengths 8.610, 6.573, 8.342 Å; angles 90.00, 114.30, 90.00 degrees
Space group P2_1/c (No. 14)
Asymmetric unit:
Nb: 0.039 0.048 0.326
Te: 0.229 0.191 0.676
Te: 0.322 0.714 0.898
Au: 0.132 0.632 0.552

* uncorrected formation energy: -190 meV per atom
* energy relative to the lowest polymorph listed for this composition: 0 meV/atom
* Fermi-level density of states: 0.658 states/eV/atom



Material: NbTe4Au3
Method: DFT, PBE
State: optimized geometry

Cell lengths 6.344, 6.344, 6.344 Å; angles 90.00, 90.00, 90.00 degrees
Space group P-43m (No. 215)
Asymmetric unit:
Nb: 0.000 0.000 0.000
Te: 0.249 0.249 0.249
Au: 0.000 0.000 0.500

* uncorrected formation energy: -275 meV per atom



Material: NbTe2Au
Method: DFT, PBE
State: optimized geometry

Cell lengths 17.993, 3.686, 6.306 Å; angles 90.00, 103.20, 90.00 degrees
Space group C2/c (No. 15)
Asymmetric unit:
Nb: 0.250 0.250 0.000
Te: 0.145 0.246 0.598
Au: 0.000 0.000 0.000

* uncorrected formation energy: -176 meV per atom
* energy relative to the lowest polymorph listed for this composition: 14 meV/atom
* Fermi-level density of states: 0.328 states/eV/atom



Material: Nb2Te4Au
Method: DFT, PBE
State: optimized geometry

Cell lengths 15.696, 3.696, 6.797 Å; angles 90.00, 115.48, 90.00 degrees
Space group C2/m (No. 12)
Asymmetric unit:
Nb: 0.245 0.000 0.319
Te: 0.103 0.500 0.258
Te: 0.153 0.000 0.830
Au: 0.000 0.500 0.500

* uncorrected formation energy: -319 meV per atom
* Fermi-level density of states: 0.673 states/eV/atom



Material: Nb2TeAu2
Method: DFT, PBE
State: optimized geometry

Cell lengths 7.073, 7.073, 4.123 Å; angles 90.00, 90.00, 90.00 degrees
Space group P4/mbm (No. 127)
Asymmetric unit:
Nb: 0.135 0.365 0.000
Te: 0.000 0.000 0.000
Au: 0.150 0.650 0.500

* uncorrected formation energy: 44 meV per atom
* Fermi-level density of states: 0.614 states/eV/atom



Material: NbTe4Au2
Method: DFT, PBE
State: optimized geometry

Cell lengths 14.888, 9.213, 7.719 Å; angles 90.00, 120.78, 90.00 degrees
Space group Cm (No. 8)
Asymmetric unit:
Nb: 0.000 0.000 0.000
Nb: 0.031 0.000 0.530
Te: 0.060 0.298 0.058
Te: 0.175 0.000 0.417
Te: 0.175 0.000 0.923
Te: 0.355 0.500 0.107
Te: 0.356 0.500 0.604
Te: 0.471 0.202 0.470
Au: 0.015 0.500 0.264
Au: 0.015 0.500 0.764
Au: 0.265 0.250 0.264

* uncorrected formation energy: -112 meV per atom
* Fermi-level density of states: 0.436 states/eV/atom



Material: NbTe2Au
Method: DFT, PBE
State: optimized geometry

Cell lengths 7.107, 7.107, 7.107 Å; angles 90.00, 90.00, 90.00 degrees
Space group Fm-3m (No. 225)
Asymmetric unit:
Nb: 0.000 0.000 0.000
Te: 0.250 0.250 0.250
Au: 0.000 0.000 0.500

* uncorrected formation energy: 238 meV per atom
* energy relative to the lowest polymorph listed for this composition: 428 meV/atom
* Fermi-level density of states: 1.004 states/eV/atom



Material: Nb4TeAu2
Method: DFT, PBE
State: optimized geometry

Cell lengths 5.031, 5.031, 13.361 Å; angles 90.00, 90.00, 90.00 degrees
Space group I4/mmm (No. 139)
Asymmetric unit:
Nb: 0.000 0.000 0.198
Nb: 0.000 0.500 0.000
Te: 0.000 0.000 0.000
Au: 0.000 0.000 0.392

* uncorrected formation energy: 1105 meV per atom
* Fermi-level density of states: 1.483 states/eV/atom



Material: NbTeAu3
Method: DFT, PBE
State: optimized geometry

Cell lengths 5.180, 5.180, 5.180 Å; angles 90.00, 90.00, 90.00 degrees
Space group Pm-3m (No. 221)
Asymmetric unit:
Nb: 0.000 0.000 0.000
Te: 0.500 0.500 0.500
Au: 0.000 0.500 0.500

* uncorrected formation energy: 1142 meV per atom
* energy relative to the lowest polymorph listed for this composition: 172 meV/atom
* Fermi-level density of states: 0.883 states/eV/atom



Material: NbTe2Au
Method: DFT, PBE
State: optimized geometry

Cell lengths 3.6823, 3.6823, 26.7928 Å; angles 90.00, 90.00, 120.00 degrees
Space group R-3m (No. 166, hexagonal axes)
Asymmetric unit:
Nb: 0.0000 0.0000 0.0000
Te: 0.0000 0.0000 0.4013
Au: 0.0000 0.0000 0.5000

* uncorrected formation energy: -187 meV per atom
* energy relative to the lowest polymorph listed for this composition: 2 meV/atom
* Fermi-level density of states: 0.235 states/eV/atom



Material: Th2NbAu
Method: DFT, PBE
State: optimized geometry

Cell lengths 3.3054, 3.3054, 33.0436 Å; angles 90.00, 90.00, 120.00 degrees
Space group R-3m (No. 166, hexagonal axes)
Asymmetric unit:
Th: 0.0000 0.0000 0.0888
Nb: 0.0000 0.0000 0.0000
Au: 0.0000 0.0000 0.5000

* formation energy from the elements: 357 meV per atom
* energy relative to the lowest polymorph listed for this composition: 480 meV/atom
* Fermi-level density of states: 1.083 states/eV/atom



Material: ThNbAu
Method: DFT, PBE
State: optimized geometry

Cell lengths 10.434, 4.621, 7.849 Å; angles 90.00, 131.08, 90.00 degrees
Space group C2/m (No. 12)
Asymmetric unit:
Th: 0.045 0.000 0.305
Nb: 0.149 0.500 0.066
Au: 0.171 0.500 0.700

* formation energy from the elements: -123 meV per atom
* Fermi-level density of states: 1.031 states/eV/atom



Material: Th2NbAu
Method: DFT, PBE
State: optimized geometry

Cell lengths 3.687, 3.687, 7.601 Å; angles 90.00, 90.00, 90.00 degrees
Space group P4/mmm (No. 123)
Asymmetric unit:
Th: 0.000 0.000 0.241
Nb: 0.500 0.500 0.000
Au: 0.500 0.500 0.500

* formation energy from the elements: -123 meV per atom
* energy relative to the lowest polymorph listed for this composition: 0 meV/atom
* Fermi-level density of states: 1.013 states/eV/atom



Material: TiNbAu2
Method: DFT, PBE
State: optimized geometry

Cell lengths 2.923, 2.923, 8.172 Å; angles 90.00, 90.00, 90.00 degrees
Space group P4/mmm (No. 123)
Asymmetric unit:
Ti: 0.000 0.000 0.000
Nb: 0.000 0.000 0.500
Au: 0.500 0.500 0.242

* formation energy from the elements: -229 meV per atom
* energy relative to the lowest polymorph listed for this composition: 0 meV/atom
* Fermi-level density of states: 0.685 states/eV/atom



Material: Ti2Nb2Au
Method: DFT, PBE
State: optimized geometry

Cell lengths 13.594, 4.459, 2.901 Å; angles 90.00, 95.80, 90.00 degrees
Space group C2/m (No. 12)
Asymmetric unit:
Ti: 0.101 0.000 0.449
Nb: 0.206 0.500 0.828
Au: 0.000 0.500 0.000

* formation energy from the elements: -115 meV per atom
* energy relative to the lowest polymorph listed for this composition: 0 meV/atom
* Fermi-level density of states: 1.113 states/eV/atom



Material: Ti2Nb2Au
Method: DFT, PBE
State: optimized geometry

Cell lengths 3.759, 3.759, 13.493 Å; angles 90.00, 90.00, 90.00 degrees
Space group I4/mmm (No. 139)
Asymmetric unit:
Ti: 0.000 0.000 0.089
Nb: 0.000 0.500 0.250
Au: 0.000 0.000 0.500

* formation energy from the elements: 474 meV per atom
* energy relative to the lowest polymorph listed for this composition: 588 meV/atom
* Fermi-level density of states: 1.024 states/eV/atom



Material: Ti3Nb3Au
Method: DFT, PBE
State: optimized geometry

Cell lengths 5.645, 7.092, 7.115 Å; angles 117.35, 97.10, 98.50 degrees
Space group P-1 (No. 2)
Asymmetric unit:
Ti: 0.044 0.434 0.282
Ti: 0.241 0.002 0.994
Ti: 0.388 0.723 0.145
Nb: 0.095 0.279 0.855
Nb: 0.174 0.140 0.423
Nb: 0.320 0.863 0.575
Au: 0.462 0.577 0.731

* formation energy from the elements: -118 meV per atom
* Fermi-level density of states: 1.293 states/eV/atom



Material: Ti2Nb2Au
Method: DFT, PBE
State: optimized geometry

Cell lengths 6.962, 6.962, 3.670 Å; angles 90.00, 90.00, 90.00 degrees
Space group P4/mbm (No. 127)
Asymmetric unit:
Ti: 0.132 0.368 0.000
Nb: 0.169 0.669 0.500
Au: 0.000 0.000 0.000

* formation energy from the elements: 55 meV per atom
* energy relative to the lowest polymorph listed for this composition: 169 meV/atom
* Fermi-level density of states: 0.995 states/eV/atom



Material: TiNbAu3
Method: DFT, PBE
State: optimized geometry

Cell lengths 4.805, 4.805, 4.805 Å; angles 90.00, 90.00, 90.00 degrees
Space group Pm-3m (No. 221)
Asymmetric unit:
Ti: 0.000 0.000 0.000
Nb: 0.500 0.500 0.500
Au: 0.000 0.000 0.500

* formation energy from the elements: 991 meV per atom
* energy relative to the lowest polymorph listed for this composition: 0 meV/atom
* Fermi-level density of states: 1.308 states/eV/atom



Material: TiNb3Au
Method: DFT, PBE
State: optimized geometry

Cell lengths 4.948, 4.948, 4.948 Å; angles 90.00, 90.00, 90.00 degrees
Space group Pm-3m (No. 221)
Asymmetric unit:
Ti: 0.000 0.000 0.000
Nb: 0.000 0.500 0.500
Au: 0.500 0.500 0.500

* formation energy from the elements: 1575 meV per atom
* energy relative to the lowest polymorph listed for this composition: 466 meV/atom
* Fermi-level density of states: 1.868 states/eV/atom



Material: Ti2Nb3Au
Method: DFT, PBE
State: optimized geometry

Cell lengths 13.933, 4.554, 8.144 Å; angles 90.00, 125.25, 90.00 degrees
Space group C2/m (No. 12)
Asymmetric unit:
Ti: 0.042 0.000 0.214
Ti: 0.210 0.000 0.045
Nb: 0.040 0.500 0.710
Nb: 0.125 0.000 0.632
Nb: 0.210 0.500 0.546
Au: 0.127 0.500 0.126

* formation energy from the elements: -90 meV per atom
* Fermi-level density of states: 1.217 states/eV/atom



Material: Ti2NbAu
Method: DFT, PBE
State: optimized geometry

Cell lengths 2.9690, 2.9690, 27.8915 Å; angles 90.00, 90.00, 120.00 degrees
Space group R3m (No. 160, hexagonal axes)
Asymmetric unit:
Ti: 0.0000 0.0000 0.0000
Ti: 0.0000 0.0000 0.1674
Nb: 0.0000 0.0000 0.4167
Au: 0.0000 0.0000 0.5845

* formation energy from the elements: -35 meV per atom
* energy relative to the lowest polymorph listed for this composition: 234 meV/atom
* Fermi-level density of states: 1.129 states/eV/atom



Material: TiNbAu2
Method: DFT, PBE
State: optimized geometry

Cell lengths 2.9239, 2.9239, 28.6390 Å; angles 90.00, 90.00, 120.00 degrees
Space group R-3m (No. 166, hexagonal axes)
Asymmetric unit:
Ti: 0.0000 0.0000 0.0000
Nb: 0.0000 0.0000 0.5000
Au: 0.0000 0.0000 0.2527

* formation energy from the elements: -45 meV per atom
* energy relative to the lowest polymorph listed for this composition: 184 meV/atom
* Fermi-level density of states: 1.253 states/eV/atom



Material: Ti2NbAu
Method: DFT, PBE
State: optimized geometry

Cell lengths 6.457, 6.457, 6.457 Å; angles 90.00, 90.00, 90.00 degrees
Space group Fm-3m (No. 225)
Asymmetric unit:
Ti: 0.250 0.250 0.250
Nb: 0.000 0.000 0.000
Au: 0.000 0.000 0.500

* formation energy from the elements: -221 meV per atom
* energy relative to the lowest polymorph listed for this composition: 48 meV/atom
* Fermi-level density of states: 0.493 states/eV/atom



Number 1: spin magnetization 0.0 μB/f.u.. Number 2: spin magnetization 0.0 μB/f.u.. Number 3: spin magnetization 0.0 μB/f.u.. Number 4: spin magnetization 0.0 μB/f.u.. Number 5: spin magnetization 0.0 μB/f.u.. Number 6: spin magnetization 0.0 μB/f.u.. Number 7: spin magnetization 0.0 μB/f.u.. Number 8: spin magnetization 1.6 μB/f.u.. Number 9: spin magnetization 3.3 μB/f.u.. Number 10: spin magnetization 3.5 μB/f.u.. Number 11: spin magnetization 0.0 μB/f.u.. Number 12: spin magnetization 0.0 μB/f.u.. Number 13: spin magnetization 0.0 μB/f.u.. Number 14: spin magnetization 0.0 μB/f.u.. Number 15: spin magnetization 0.6 μB/f.u.. Number 16: spin magnetization 0.0 μB/f.u.. Number 17: spin magnetization 0.0 μB/f.u.. Number 18: spin magnetization 0.0 μB/f.u.. Number 19: spin magnetization 0.0 μB/f.u.. Number 20: spin magnetization 0.0 μB/f.u.. Number 21: spin magnetization 0.0 μB/f.u.. Number 22: spin magnetization 0.7 μB/f.u.. Number 23: spin magnetization 0.0 μB/f.u.. Number 24: spin magnetization 0.3 μB/f.u.. Number 25: spin magnetization 0.0 μB/f.u..